# 1
AcAgGe2Pd5: optimized geometry, PBE-GGA.

Output
The total DFT energy (no corrections) is -45.98 eV/cell. The space group is P4/mmm, No. 123. For the energy of formation, the calculation gives -0.425 eV/atom. For the total magnetization, the calculation gives 0.00 μB/atom.

Cell and atoms, written as CIF:
```
data_AcAgGe2Pd5
_chemical_formula_sum 'Ac1 Ag1 Ge2 Pd5'
_symmetry_space_group_name_H-M 'P 1'
_symmetry_Int_Tables_number 1
_cell_length_a 4.851
_cell_length_b 4.851
_cell_length_c 7.352
_cell_angle_alpha 90.00
_cell_angle_beta 90.00
_cell_angle_gamma 90.00
loop_
_symmetry_equiv_pos_as_xyz
'x,y,z'
loop_
_atom_site_label
_atom_site_fract_x
_atom_site_fract_y
_atom_site_fract_z
Ge1 0.500 0.500 0.161
Pd1 0.500 0.000 0.225
Pd2 0.500 0.500 0.500
Pd3 0.000 0.500 0.775
Ac1 0.000 0.000 0.500
Ge2 0.500 0.500 0.839
Ag1 0.000 0.000 0.000
Pd4 0.000 0.500 0.225
Pd5 0.500 0.000 0.775
```



# 2
Ca4MnFe: optimized geometry, PBE-GGA.

Output
The total DFT energy (no corrections) is -19.42 eV/cell. The space group is F-43m, No. 216. For the energy of formation, the calculation gives 1.037 eV/atom. For the total magnetization, the calculation gives 1.22 μB/atom.

Cell and atoms, written as CIF:
```
data_Ca4MnFe
_chemical_formula_sum 'Ca4 Mn1 Fe1'
_symmetry_space_group_name_H-M 'P 1'
_symmetry_Int_Tables_number 1
_cell_length_a 6.493
_cell_length_b 6.493
_cell_length_c 6.493
_cell_angle_alpha 60.00
_cell_angle_beta 60.00
_cell_angle_gamma 60.00
loop_
_symmetry_equiv_pos_as_xyz
'x,y,z'
loop_
_atom_site_label
_atom_site_fract_x
_atom_site_fract_y
_atom_site_fract_z
Ca1 0.873 0.376 0.376
Ca2 0.376 0.376 0.873
Fe1 0.750 0.750 0.750
Ca3 0.376 0.873 0.376
Ca4 0.376 0.376 0.376
Mn1 0.000 0.000 0.000
```



# 3
RbSc2Br6: optimized geometry, PBE-GGA.

Output
The total DFT energy (no corrections) is -38.72 eV/cell. The space group is P-31m, No. 162. For the total magnetization, the calculation gives 0.11 μB/atom. The energy relative to the elements, uncorrected is -1.672 eV/atom.

Cell and atoms, written as CIF:
```
data_RbSc2Br6
_chemical_formula_sum 'Rb1 Sc2 Br6'
_symmetry_space_group_name_H-M 'P 1'
_symmetry_Int_Tables_number 1
_cell_length_a 7.920
_cell_length_b 6.948
_cell_length_c 6.948
_cell_angle_alpha 120.00
_cell_angle_beta 90.00
_cell_angle_gamma 90.00
loop_
_symmetry_equiv_pos_as_xyz
'x,y,z'
loop_
_atom_site_label
_atom_site_fract_x
_atom_site_fract_y
_atom_site_fract_z
Sc1 0.500 0.667 0.333
Br1 0.300 0.000 0.634
Rb1 0.000 0.000 0.000
Br2 0.700 0.366 0.000
Br3 0.700 0.000 0.366
Sc2 0.500 0.333 0.667
Br4 0.300 0.366 0.366
Br5 0.300 0.634 0.000
Br6 0.700 0.634 0.634
```



# 4
CsV2PbBr8: optimized geometry, PBE-GGA.

Output
The total DFT energy (no corrections) is -47.27 eV/cell. The space group is R-3, No. 148. For the total magnetization, the calculation gives 0.42 μB/atom. The energy relative to the elements, uncorrected is -0.924 eV/atom.

Cell and atoms, written as CIF:
```
data_CsV2PbBr8
_chemical_formula_sum 'Cs1 V2 Pb1 Br8'
_symmetry_space_group_name_H-M 'P 1'
_symmetry_Int_Tables_number 1
_cell_length_a 7.156
_cell_length_b 7.156
_cell_length_c 11.108
_cell_angle_alpha 71.21
_cell_angle_beta 71.21
_cell_angle_gamma 60.00
loop_
_symmetry_equiv_pos_as_xyz
'x,y,z'
loop_
_atom_site_label
_atom_site_fract_x
_atom_site_fract_y
_atom_site_fract_z
Pb1 0.000 0.000 0.000
Br1 0.405 0.707 0.825
Br2 0.595 0.293 0.175
Br3 0.062 0.405 0.825
V1 0.747 0.747 0.758
Br4 0.938 0.595 0.175
V2 0.253 0.253 0.242
Br5 0.293 0.938 0.175
Br6 0.825 0.825 0.526
Br7 0.175 0.175 0.474
Cs1 0.500 0.500 0.500
Br8 0.707 0.062 0.825
```



# 5
ScAsSe2I: optimized geometry, PBE-GGA.

Output
The total DFT energy (no corrections) is -16.33 eV/cell. The space group is P4/mmm, No. 123. The value obtained for the polymorph energy (0 for the lowest one) is 0.746 eV per atom. For the total magnetization, the calculation gives 0.02 μB/atom. The energy relative to the elements, uncorrected is 0.634 eV/atom.

Cell and atoms, written as CIF:
```
data_ScAsSe2I
_chemical_formula_sum 'Sc1 As1 Se2 I1'
_symmetry_space_group_name_H-M 'P 1'
_symmetry_Int_Tables_number 1
_cell_length_a 5.253
_cell_length_b 5.253
_cell_length_c 5.398
_cell_angle_alpha 90.00
_cell_angle_beta 90.00
_cell_angle_gamma 90.00
loop_
_symmetry_equiv_pos_as_xyz
'x,y,z'
loop_
_atom_site_label
_atom_site_fract_x
_atom_site_fract_y
_atom_site_fract_z
Sc1 0.500 0.500 0.500
Se1 0.000 0.500 0.000
As1 0.000 0.000 0.500
I1 0.000 0.000 0.000
Se2 0.500 0.000 0.000
```



# 6
SrRePb: optimized geometry, PBE-GGA.

Output
The total DFT energy (no corrections) is -15.30 eV/cell. The space group is P-6m2, No. 187. The value obtained for the polymorph energy (0 for the lowest one) is 0.139 eV per atom. For the energy of formation, the calculation gives 0.847 eV/atom. For the total magnetization, the calculation gives 0.00 μB/atom.

Cell and atoms, written as CIF:
```
data_SrRePb
_chemical_formula_sum 'Sr1 Re1 Pb1'
_symmetry_space_group_name_H-M 'P 1'
_symmetry_Int_Tables_number 1
_cell_length_a 5.207
_cell_length_b 5.207
_cell_length_c 3.081
_cell_angle_alpha 90.00
_cell_angle_beta 90.00
_cell_angle_gamma 120.00
loop_
_symmetry_equiv_pos_as_xyz
'x,y,z'
loop_
_atom_site_label
_atom_site_fract_x
_atom_site_fract_y
_atom_site_fract_z
Re1 0.667 0.333 0.167
Sr1 0.333 0.667 0.666
Pb1 0.000 0.000 0.166
```